! PBE NiSe2Br, relaxed; values from VASP
! Formation energy (no corrections): -0.2124 eV per atom
! VASP energy: -3.818 eV per atom
! Energy above the most stable polymorph in this dataset: 0.026 eV per atom
! Magnetic moment: 0.00 μB per formula unit
! Density of states at the Fermi level: 1.176 states/eV/f.u.
&SYSTEM
  ibrav = 0, nat = 4, ntyp = 3
/
ATOMIC_SPECIES
Ni 58.69 Ni.upf
Br 79.90 Br.upf
Se 78.96 Se.upf
ATOMIC_POSITIONS angstrom
Ni -2.976 3.710 0.640
Br -4.704 3.573 2.622
Se -4.079 2.171 -0.826
Se -2.207 1.639 1.564
CELL_PARAMETERS angstrom
-4.210 0.666 -1.831
-3.457 -0.279 3.961
0.335 3.612 0.543

! PBE SrCo2Sb, relaxed; values from VASP
! Formation energy (no corrections): 0.5048 eV per atom
! VASP energy: -4.499 eV per atom
! Magnetic moment: 3.38 μB per formula unit
! Density of states at the Fermi level: 7.500 states/eV/f.u.
&SYSTEM
  ibrav = 0, nat = 4, ntyp = 3
/
ATOMIC_SPECIES
Co 58.93 Co.upf
Sb 121.76 Sb.upf
Sr 87.62 Sr.upf
ATOMIC_POSITIONS angstrom
Co 0.000 0.000 0.000
Co -1.459 1.951 1.713
Sb -2.918 3.902 3.425
Sr -4.377 5.854 5.138
CELL_PARAMETERS angstrom
-0.963 4.713 0.715
-4.378 1.370 1.615
-0.495 1.722 4.521